GGA-PBE K2ReH21C12N6O9, optimized geometry; raw total energy = -632.06 eV for the cell shown
1.0
8.0842 0.0000 0.0000
-3.0509 8.3809 0.0000
-0.6588 -2.1883 14.0687
K Re H C N O
4 2 42 24 12 18
Cartesian
0.0000 0.0000 0.0000
-2.1482 2.5658 14.0365
0.6355 8.0557 1.6570
5.4908 3.7065 3.4413
3.3647 2.3538 10.6163
4.4958 7.1535 4.5752
-0.3779 -0.7520 11.0706
-1.5600 2.7924 10.6307
-1.0431 1.7819 9.2535
0.4805 -0.9827 7.6686
-0.0113 1.8831 4.6527
0.0200 3.5343 3.1368
-1.5020 5.8645 9.7848
-0.1166 1.7712 10.7987
0.4088 1.4260 7.1655
0.5008 3.1436 1.7250
-1.1536 4.8098 12.5704
0.2988 0.7887 13.2227
0.5701 3.2760 5.1208
-0.4115 6.5870 4.2718
1.8740 0.7537 4.3441
0.1634 4.6316 7.3794
1.8902 1.6110 2.4413
1.1370 2.5984 8.3288
2.2156 1.9317 0.9157
1.0897 2.0605 12.9671
1.1921 5.0046 2.0101
2.9888 -0.8747 5.7556
0.3753 4.5409 13.0129
2.1538 1.7670 7.1222
0.8480 5.9889 5.4037
0.1392 6.3005 11.4406
2.9490 1.9264 4.3519
2.4582 5.6880 2.7698
1.8459 5.7271 8.8965
2.5915 6.2863 0.4440
3.3282 4.5915 1.3743
4.2657 0.0603 8.5712
3.8982 3.3683 0.5698
2.5495 3.6512 13.1555
4.8700 1.1398 5.4153
2.4523 6.0334 11.6957
3.5356 4.2767 7.8914
4.7763 -0.2988 13.9628
4.8999 1.7827 7.0851
6.2558 1.7922 1.1948
6.4214 1.6206 6.1481
5.7579 3.6778 8.2968
-2.4523 5.8193 5.8123
-2.0438 4.3794 7.5203
-2.3907 6.8983 2.8575
-1.1091 1.8384 10.3484
-0.8485 4.8474 7.0731
1.0941 -0.7206 8.5198
1.6155 -1.4667 9.5348
1.2818 1.6641 7.7790
-0.1147 6.4997 5.3219
2.3653 -0.6499 12.7829
2.2627 0.6880 9.8438
3.1142 -0.9825 11.4755
1.7550 3.7254 10.3478
2.9305 3.9708 5.8924
2.1610 6.4577 8.1590
4.8918 -0.6092 7.9965
3.6509 4.8457 6.9531
4.8113 0.7957 11.0026
5.5837 -1.3020 11.4240
5.4386 1.1797 6.3486
3.2552 7.2290 6.3244
6.4256 0.1489 3.4195
4.5861 3.9143 11.3524
6.6486 -0.5242 11.0953
-2.7705 4.7363 11.7777
-1.7706 6.6983 1.8786
-1.1146 5.7093 6.0256
1.5065 0.5819 8.7218
2.3367 -0.5885 10.3155
0.8167 4.4370 10.2839
4.4713 -0.4815 11.3613
3.0366 6.1509 7.1369
5.5762 -0.1615 6.8860
5.9071 0.9777 2.7614
6.1585 0.7443 10.8455
5.0749 4.9902 6.7415
0.4701 0.1955 5.0836
-0.2019 2.8542 4.6253
0.0242 3.8891 2.1953
1.1182 -0.7049 12.7034
0.2048 1.7666 13.2998
1.4720 1.7389 1.5348
-0.5086 4.8404 13.3202
2.6444 1.1248 3.8306
1.6777 4.0797 5.9199
1.9460 5.6740 1.9042
3.0471 -0.4368 13.8379
2.7094 2.1235 12.2944
2.2622 4.4649 13.6464
3.6334 3.1649 5.2294
4.1518 4.0673 1.2143
4.0059 2.6523 8.9666
3.4807 5.7975 3.9755
6.3538 2.0388 0.2392